The following is a GGA-PBE calculation of a geometry-optimized Er3BiC structure, from Alexandria via LeMat-Bulk.

Calculated values
Excess energy over the best structure of this formula in the dataset: 0.000 eV per atom
ΔH_f (0 K): -2.69 eV/f.u.
E_tot: -5.90 eV per atom
Volume: 23.177 Å³/atom

a b c (Å): 4.8754 4.8754 4.8754
angles (deg): 90.00 90.00 90.00
With the nearest neighbours (Å) after each atom.
Positions (direct):
1 C 0.0000 0.0000 0.0000  6 Er 2.44
2 Bi 0.5000 0.5000 0.5000  12 Er 3.45
3 Er 0.0000 0.5000 0.0000  2 C 2.44
4 Er 0.0000 0.0000 0.5000  2 C 2.44
5 Er 0.5000 0.0000 0.0000  2 C 2.44

The following is a GGA-PBE calculation of a geometry-optimized Er4Bi3C structure, from Alexandria via LeMat-Bulk.

Calculated values
ΔH_f (0 K): -3.20 eV/f.u.
E_tot: -5.29 eV per atom
Volume: 31.799 Å³/atom

a b c (Å): 6.2349 9.5611 8.5348
angles (deg): 90.00 90.00 90.00
With the nearest neighbours (Å) after each atom.
Positions (direct):
1 Er 0.0615 0.9612 0.0000  1 C 2.28
2 Er 0.6319 0.2002 0.0000  1 C 2.29
3 Er 0.0709 0.3179 0.2216  1 C 2.27
4 Er 0.5709 0.6821 0.2784  1 C 2.27
5 Er 0.1319 0.7998 0.5000  1 C 2.29
6 Er 0.5615 0.0388 0.5000  1 C 2.28
7 Er 0.5709 0.6821 0.7216  1 C 2.27
8 Er 0.0709 0.3179 0.7784  1 C 2.27
9 Bi 0.5552 0.8948 0.0000  5 Er 2.96-3.22
10 Bi 0.0632 0.6464 0.1908  4 Er 3.05-3.27, 1 Bi 3.26
11 Bi 0.5632 0.3536 0.3092  4 Er 3.05-3.27, 1 Bi 3.26
12 Bi 0.0552 0.1052 0.5000  5 Er 2.96-3.22
13 Bi 0.5632 0.3536 0.6908  4 Er 3.05-3.27, 1 Bi 3.26
14 Bi 0.0632 0.6464 0.8092  4 Er 3.05-3.27, 1 Bi 3.26
15 C 0.9986 0.1962 0.0000  4 Er 2.27-2.29
16 C 0.4986 0.8038 0.5000  4 Er 2.27-2.29

The following is a GGA-PBE calculation of a geometry-optimized Er12Bi6C structure, from Alexandria via LeMat-Bulk.

Calculated values
ΔH_f (0 K): -8.43 eV/f.u.
E_tot: -5.04 eV per atom
Volume: 30.161 Å³/atom

a b c (Å): 8.4466 8.4466 8.4466
angles (deg): 99.75 99.75 99.75
With the nearest neighbours (Å) after each atom.
Positions (direct):
1 Er 0.8018 0.5824 0.4646  4 Bi 3.10-3.36
2 Er 0.4646 0.8018 0.5824  4 Bi 3.10-3.36
3 Er 0.5824 0.4646 0.8018  4 Bi 3.10-3.36
4 Er 0.1982 0.4176 0.5354  4 Bi 3.10-3.36
5 Er 0.5354 0.1982 0.4176  4 Bi 3.10-3.36
6 Er 0.4176 0.5354 0.1982  4 Bi 3.10-3.36
7 Er 0.0640 0.0042 0.2946  1 C 2.45
8 Er 0.9958 0.7054 0.9360  1 C 2.45
9 Er 0.7054 0.9360 0.9958  1 C 2.45
10 Er 0.9360 0.9958 0.7054  1 C 2.45
11 Er 0.0042 0.2946 0.0640  1 C 2.45
12 Er 0.2946 0.0640 0.0042  1 C 2.45
13 Bi 0.6972 0.8861 0.3480  7 Er 3.09-3.36
14 Bi 0.6520 0.3028 0.1139  7 Er 3.09-3.36
15 Bi 0.1139 0.6520 0.3028  7 Er 3.09-3.36
16 Bi 0.3028 0.1139 0.6520  7 Er 3.09-3.36
17 Bi 0.3480 0.6972 0.8861  7 Er 3.09-3.36
18 Bi 0.8861 0.3480 0.6972  7 Er 3.09-3.36
19 C 0.0000 0.0000 0.0000  6 Er 2.45

The following is a GGA-PBE calculation of a geometry-optimized Er2BiC structure, from Alexandria via LeMat-Bulk.

Calculated values
ΔH_f (0 K): -0.60 eV/f.u.
E_tot: -5.71 eV per atom
Volume: 30.359 Å³/atom

a b c (Å): 4.3476 6.9733 16.0219
angles (deg): 90.00 90.00 90.00
With the nearest neighbours (Å) after each atom.
Positions (direct):
1 Er 0.7500 0.0784 0.5736  3 C 2.29-2.39
2 Er 0.2500 0.4216 0.0736  3 C 2.29-2.39
3 Er 0.2500 0.9216 0.4264  3 C 2.29-2.39
4 Er 0.7500 0.5784 0.9264  3 C 2.29-2.39
5 Er 0.7500 0.7799 0.1679  1 C 2.18
6 Er 0.2500 0.7201 0.6679  1 C 2.18
7 Er 0.2500 0.2201 0.8321  1 C 2.18
8 Er 0.7500 0.2799 0.3321  1 C 2.18
9 Bi 0.7500 0.4144 0.7243  6 Er 3.09-3.43
10 Bi 0.2500 0.0856 0.2243  6 Er 3.09-3.43
11 Bi 0.2500 0.5856 0.2757  6 Er 3.09-3.43
12 Bi 0.7500 0.9144 0.7757  6 Er 3.09-3.43
13 C 0.7500 0.0635 0.4306  4 Er 2.18-2.39
14 C 0.2500 0.4365 0.9306  4 Er 2.18-2.39
15 C 0.2500 0.9365 0.5694  4 Er 2.18-2.39
16 C 0.7500 0.5635 0.0694  4 Er 2.18-2.39

The following is a GGA-PBE calculation of a geometry-optimized Er6BiC2 structure, from Alexandria via LeMat-Bulk.

Calculated values
ΔH_f (0 K): -1.97 eV/f.u.
E_tot: -5.74 eV per atom
Volume: 25.319 Å³/atom

a b c (Å): 4.8312 6.9466 7.8128
angles (deg): 72.13 71.99 69.65
With the nearest neighbours (Å) after each atom.
Positions (direct):
1 Er 0.6915 0.6822 0.9348  3 C 2.44-2.69
2 Er 0.3085 0.3178 0.0652  3 C 2.44-2.69
3 Er 0.9641 0.8802 0.1916  2 C 2.46-2.52
4 Er 0.3296 0.7583 0.5824  1 C 2.38
5 Er 0.0359 0.1198 0.8084  2 C 2.46-2.52
6 Er 0.6704 0.2417 0.4176  1 C 2.38
7 Bi 0.0000 0.5000 0.5000  6 Er 2.97-3.08
8 C 0.1805 0.7325 0.9065  5 Er 2.38-2.52
9 C 0.8195 0.2675 0.0935  5 Er 2.38-2.52

The following is a GGA-PBE calculation of a geometry-optimized Er3Bi3C structure, from Alexandria via LeMat-Bulk.

Calculated values
ΔH_f (0 K): -2.93 eV/f.u.
E_tot: -5.36 eV per atom
Volume: 28.226 Å³/atom

a b c (Å): 7.2838 7.2838 7.6813
angles (deg): 95.15 95.15 101.59
With the nearest neighbours (Å) after each atom.
Positions (direct):
1 Er 0.9018 0.9018 0.1655  2 C 2.26-2.29
2 Er 0.9095 0.5903 0.7440  1 C 2.20
3 Er 0.5903 0.9095 0.7440  1 C 2.20
4 Er 0.0905 0.4097 0.2560  1 C 2.20
5 Er 0.4097 0.0905 0.2560  1 C 2.20
6 Er 0.0982 0.0982 0.8345  2 C 2.26-2.29
7 Bi 0.5607 0.5607 0.3054  3 Bi 3.23-3.34, 3 Er 3.36-3.46
8 Bi 0.1899 0.8101 0.5000  6 Er 3.19-3.37
9 Bi 0.8101 0.1899 0.5000  6 Er 3.19-3.37
10 Bi 0.3019 0.6981 0.0000  2 Bi 3.23, 4 Er 3.24-3.26
11 Bi 0.6981 0.3019 0.0000  2 Bi 3.23, 4 Er 3.24-3.26
12 Bi 0.4393 0.4393 0.6946  3 Bi 3.23-3.34, 3 Er 3.36-3.46
13 C 0.8575 0.8575 0.8645  4 Er 2.20-2.29
14 C 0.1425 0.1425 0.1355  4 Er 2.20-2.29

The following is a GGA-PBE calculation of a geometry-optimized Er4BiC2 structure, from Alexandria via LeMat-Bulk.

Calculated values
Excess energy over the best structure of this formula in the dataset: 0.005 eV per atom
ΔH_f (0 K): -3.22 eV/f.u.
E_tot: -6.26 eV per atom
Volume: 22.385 Å³/atom

a b c (Å): 3.5981 3.5981 14.1296
angles (deg): 82.69 82.69 60.00
With the nearest neighbours (Å) after each atom.
Positions (direct):
1 Er 0.1250 0.1250 0.6249  3 C 2.47
2 Er 0.2710 0.2710 0.1871  3 C 2.45
3 Er 0.7290 0.7290 0.8129  3 C 2.45
4 Er 0.8750 0.8750 0.3751  3 C 2.47
5 Bi 0.0000 0.0000 0.0000  6 Er 3.34, 6 Bi 3.60
6 C 0.4267 0.4267 0.7200  6 Er 2.45-2.47
7 C 0.5733 0.5733 0.2800  6 Er 2.45-2.47

The following is a GGA-PBE calculation of a geometry-optimized Er7Bi2C2 structure, from Alexandria via LeMat-Bulk.

Calculated values
ΔH_f (0 K): -3.08 eV/f.u.
E_tot: -5.57 eV per atom
Volume: 24.681 Å³/atom

a b c (Å): 3.4390 9.5901 9.5901
angles (deg): 61.36 79.67 79.67
With the nearest neighbours (Å) after each atom.
Positions (direct):
1 Er 0.8103 0.0841 0.2953  1 C 2.48
2 Er 0.8376 0.3878 0.9369  2 C 2.43
3 Er 0.5000 0.0233 0.9767  3 Bi 3.20-3.23, 2 Er 3.44
4 Er 0.6444 0.4462 0.2650  2 C 2.39
5 Er 0.3556 0.7350 0.5538  2 C 2.39
6 Er 0.1897 0.7047 0.9159  1 C 2.48
7 Er 0.1624 0.0631 0.6122  2 C 2.43
8 Bi 0.0000 0.7480 0.2520  8 Er 3.20-3.38, 2 Bi 3.44
9 Bi 0.5000 0.3528 0.6472  7 Er 3.23-3.37, 2 Bi 3.44
10 C 0.7600 0.8944 0.5856  5 Er 2.39-2.48
11 C 0.2400 0.4144 0.1056  5 Er 2.39-2.48

The following is a GGA-PBE calculation of a geometry-optimized Er6Bi3C structure, from Alexandria via LeMat-Bulk.

Calculated values
ΔH_f (0 K): -3.84 eV/f.u.
E_tot: -5.21 eV per atom
Volume: 30.596 Å³/atom

a b c (Å): 7.2171 9.2863 9.2863
angles (deg): 100.51 90.00 90.00
With the nearest neighbours (Å) after each atom.
Positions (direct):
1 Er 0.1936 0.7001 0.6156  4 Bi 3.05-3.20
2 Er 0.6936 0.6156 0.7001  4 Bi 3.05-3.20
3 Er 0.1603 0.4092 0.8980  1 C 2.26
4 Er 0.6603 0.8980 0.4092  1 C 2.26
5 Er 0.1613 0.0495 0.9505  1 C 2.24
6 Er 0.7238 0.2284 0.7716  1 C 2.26
7 Er 0.2238 0.7716 0.2284  1 C 2.26
8 Er 0.6613 0.9505 0.0495  1 C 2.24
9 Er 0.1603 0.1020 0.5908  1 C 2.26
10 Er 0.6603 0.5908 0.1020  1 C 2.26
11 Er 0.1936 0.3844 0.2999  4 Bi 3.05-3.20
12 Er 0.6936 0.2999 0.3844  4 Bi 3.05-3.20
13 Bi 0.4912 0.9257 0.7280  7 Er 3.05-3.28
14 Bi 0.9912 0.7280 0.9257  7 Er 3.05-3.28
15 Bi 0.3824 0.3910 0.6090  7 Er 3.08-3.39
16 Bi 0.8824 0.6090 0.3910  7 Er 3.08-3.39
17 Bi 0.9912 0.0743 0.2720  7 Er 3.05-3.28
18 Bi 0.4912 0.2720 0.0743  7 Er 3.05-3.28
19 C 0.0276 0.1910 0.8090  4 Er 2.24-2.26
20 C 0.5276 0.8090 0.1910  4 Er 2.24-2.26

The following is a GGA-PBE calculation of a geometry-optimized Er10Bi4C3 structure, from Alexandria via LeMat-Bulk.

Calculated values
ΔH_f (0 K): -9.84 eV/f.u.
E_tot: -5.80 eV per atom
Volume: 24.432 Å³/atom

a b c (Å): 4.8479 4.8479 18.0021
angles (deg): 97.74 97.74 90.00
With the nearest neighbours (Å) after each atom.
Positions (direct):
1 Er 0.1369 0.6369 0.2738  2 C 2.43
2 Er 0.0688 0.0688 0.1376  2 C 2.43-2.50
3 Er 0.6369 0.1369 0.2738  2 C 2.43
4 Er 0.8631 0.3631 0.7262  2 C 2.43
5 Er 0.3631 0.8631 0.7262  2 C 2.43
6 Er 0.9312 0.9312 0.8624  2 C 2.43-2.50
7 Er 0.2060 0.2060 0.4120  1 C 2.35
8 Er 0.7940 0.7940 0.5880  1 C 2.35
9 Er 0.0000 0.5000 0.0000  2 C 2.42
10 Er 0.5000 0.0000 0.0000  2 C 2.42
11 Bi 0.5687 0.5687 0.1373  12 Er 3.42-3.43
12 Bi 0.4313 0.4313 0.8627  12 Er 3.42-3.43
13 Bi 0.2977 0.2977 0.5955  9 Er 3.24-3.43
14 Bi 0.7023 0.7023 0.4045  9 Er 3.24-3.43
15 C 0.1395 0.1395 0.2790  6 Er 2.35-2.50
16 C 0.8605 0.8605 0.7210  6 Er 2.35-2.50
17 C 0.0000 0.0000 0.0000  6 Er 2.42-2.43

The following is a GGA-PBE calculation of a geometry-optimized Er4Bi5C structure, from Alexandria via LeMat-Bulk.

Calculated values
ΔH_f (0 K): -4.20 eV/f.u.
E_tot: -5.11 eV per atom
Volume: 28.768 Å³/atom

a b c (Å): 3.8690 8.0261 9.4640
angles (deg): 90.23 101.79 90.00
With the nearest neighbours (Å) after each atom.
Positions (direct):
1 Er 0.6184 0.1288 0.2368  1 C 2.42
2 Er 0.9630 0.1844 0.9260  2 C 2.53
3 Er 0.3816 0.8712 0.7632  1 C 2.42
4 Er 0.0370 0.8156 0.0740  2 C 2.53
5 Bi 0.1370 0.4459 0.2740  3 Er 3.21-3.50, 3 Bi 3.22-3.54
6 Bi 0.2076 0.8559 0.4152  4 Er 3.18-3.36, 3 Bi 3.40-3.54
7 Bi 0.7924 0.1441 0.5848  4 Er 3.18-3.36, 3 Bi 3.40-3.54
8 Bi 0.5000 0.5000 0.0000  4 Bi 3.22, 4 Er 3.26
9 Bi 0.8630 0.5541 0.7260  3 Er 3.21-3.50, 3 Bi 3.22-3.54
10 C 0.5000 0.0000 0.0000  6 Er 2.42-2.53

The following is a GGA-PBE calculation of a geometry-optimized Er7Bi3C2 structure, from Alexandria via LeMat-Bulk.

Calculated values
Excess energy over the best structure of this formula in the dataset: 0.106 eV per atom
ΔH_f (0 K): -5.60 eV/f.u.
E_tot: -5.64 eV per atom
Volume: 25.657 Å³/atom

a b c (Å): 4.6048 4.6053 14.7010
angles (deg): 99.03 90.00 90.00
With the nearest neighbours (Å) after each atom.
Positions (direct):
1 Er 0.5000 0.6993 0.3985  1 C 2.21
2 Er 0.5000 0.3007 0.6015  1 C 2.21
3 Er 0.0000 0.6038 0.2072  2 C 2.37
4 Er 0.0000 0.0000 0.0000  4 Bi 3.26
5 Er 0.0000 0.3962 0.7928  2 C 2.37
6 Er 0.5000 0.8980 0.7964  2 C 2.38
7 Er 0.5000 0.1020 0.2036  2 C 2.38
8 Bi 0.5000 0.5000 0.0000  4 Er 3.26, 2 C 3.57
9 Bi 0.0000 0.1935 0.3870  8 Er 3.26-3.52
10 Bi 0.0000 0.8065 0.6130  8 Er 3.26-3.52
11 C 0.5000 0.6231 0.2461  5 Er 2.21-2.38
12 C 0.5000 0.3769 0.7539  5 Er 2.21-2.38